# AlFe4Ni (PBE, optimized geometry)
# Energy relative to the elements   0.025 eV/atom
# Crystal system   cubic
# Electronic total energy   -7.204 eV/atom
data_AlFe4Ni
_cell_length_a 6.590
_cell_length_b 6.590
_cell_length_c 6.590
_cell_angle_alpha 90.00
_cell_angle_beta 90.00
_cell_angle_gamma 90.00
_symmetry_space_group_name_H-M 'F -4 3 m'
_symmetry_Int_Tables_number 216
_symmetry_space_group_name_Hall 'F -4 2 3'
loop_
_atom_site_label
_atom_site_type_symbol
_atom_site_fract_x
_atom_site_fract_y
_atom_site_fract_z
_atom_site_occupancy
Al1 Al 0.000 0.000 0.000 1
Fe1 Fe 0.125 0.125 0.625 1
Ni1 Ni 0.250 0.250 0.250 1